## Nb3AgC (PBE-GGA)

Data for a geometry-optimized Nb3AgC structure.

a b c (Å): 4.8918 4.8918 4.8918
angles (deg): 90.00 90.00 90.00
Last column: nearest neighbours and their distance in Å.
Space group Pm-3m (No. 221)
Unique sites:
Nb1 0.0000 0.0000 0.5000 (multiplicity 3)  2 Ag 2.45
Ag1 0.0000 0.0000 0.0000 (multiplicity 1)  6 Nb 2.45
C1 0.5000 0.5000 0.5000 (multiplicity 1)  12 Nb 3.46

Calculated values
* E_form: 3038 meV/atom
* VASP energy: -5.419 eV per atom
* density of states at the Fermi level: 11.137 states/eV/f.u.